LaTlGe2I8 | PBE-GGA | relaxed Values from VASP.

```
&SYSTEM
  ibrav = 0, nat = 12, ntyp = 4
/
ATOMIC_SPECIES
I 126.90 I.upf
Ge 72.64 Ge.upf
Tl 204.38 Tl.upf
La 138.91 La.upf
CELL_PARAMETERS angstrom
-7.465 -1.227 1.732
1.447 -6.544 2.912
0.849 3.540 8.851
ATOMIC_POSITIONS crystal
I 0.167 0.740 0.769
I 0.175 0.744 0.233
Ge 0.525 0.532 0.260
I 0.362 0.275 0.529
I 0.638 0.725 0.471
I 0.833 0.260 0.231
Tl 0.000 0.000 0.500
I 0.334 0.252 0.980
Ge 0.475 0.468 0.740
I 0.666 0.748 0.020
La 0.000 0.000 0.000
I 0.825 0.256 0.767
```

Uncorrected energy (eV for the cell shown): -37.55
Spin magnetization (Bohr magnetons per cell): 0.00
E_form (uncorrected) (eV per atom): -0.719